Density functional theory data (PBE) for an optimized crystal structure of Zn2AgIr.

Computed properties:
As for the volume: 15.33 Å³/atom. The calculation puts the formation energy at -0.020 eV/atom. Its crystal system is orthorhombic. Its theoretical density is 11.67 g/cm³. As for the symmetry: Cmmm (65).

Cell lengths 2.7795, 2.7795, 8.8339 Å; angles 90.00, 90.00, 116.06 degrees
Element x y z (fractional)
Zn 0.0000 0.0000 0.9908
Zn 0.0000 0.0000 0.5092
Ir 0.5000 0.5000 0.7500
Ag 0.5000 0.5000 0.2500